# 1
## Mg2Mn2Ge (PBE-GGA)

Data for a geometry-optimized Mg2Mn2Ge structure.

```
10
Lattice="-3.651 -1.665 4.578 1.883 -5.759 -0.592 3.210 0.758 2.837" Properties=species:S:1:pos:R:3 pbc="T T T"
Mg 0.706 -1.139 2.841
Mg 2.251 -3.743 1.789
Mn -2.054 -1.789 2.802
Mg 0.736 -5.527 3.980
Mn -1.997 -5.072 3.615
Ge 0.000 0.000 0.000
Mn 0.228 -2.352 0.370
Mg -0.809 -2.922 5.032
Ge -0.884 -3.712 1.993
Mn 0.285 -5.634 1.183
```

Computed properties:
formation energy from the elements = 5 kJ per mole of atoms
V = 80.6 Å³/f.u.
E_tot = -5.17 eV per atom
space-group type = P4/mbm

=====

# 2
## MgMnGe2 (PBE-GGA)

Data for a geometry-optimized MgMnGe2 structure.

```
8
Lattice="-3.898 0.473 -2.084 0.547 -3.970 -1.923 -5.685 -5.519 4.639" Properties=species:S:1:pos:R:3 pbc="T T T"
Ge -1.281 -3.837 -0.150
Mg -3.407 -5.619 0.356
Ge -4.075 -1.546 -0.536
Ge -5.561 -5.159 2.118
Mg -1.675 -1.749 -2.004
Ge -7.156 -7.490 -0.168
Mn 0.000 0.000 0.000
Mn -5.629 -3.397 0.276
```

Computed properties:
formation energy from the elements = 20 kJ per mole of atoms
V = 85.2 Å³/f.u.
E_tot = -4.79 eV per atom
space-group type = I-42d

=====

# 3
## MgMnGe2N (PBE-GGA)

Data for a geometry-optimized MgMnGe2N structure.

```
5
Lattice="-0.423 -4.631 0.673 1.405 0.362 3.373 -4.320 0.646 1.730" Properties=species:S:1:pos:R:3 pbc="T T T"
Mn 0.702 0.181 1.686
Ge -2.160 0.323 0.865
Mg -1.669 -1.811 2.888
Ge -0.211 -2.315 0.337
N 0.000 0.000 0.000
```

Computed properties:
V = 81.0 Å³/f.u.
E_tot = -5.40 eV per atom
raw formation energy = 0.266 eV/atom
space-group type = P4/mmm

=====

# 4
## NdMgMnGe2 (PBE-GGA)

Data for a geometry-optimized NdMgMnGe2 structure.

```
5
Lattice="4.201 0.000 0.000 0.000 4.201 0.000 -2.101 -2.101 5.648" Properties=species:S:1:pos:R:3 pbc="T T T"
Mn 2.101 0.000 2.824
Mg 0.000 2.101 2.824
Nd 0.000 0.000 0.000
Ge 0.000 0.000 4.374
Ge 2.101 2.101 1.274
```

Computed properties:
formation energy from the elements = -45 kJ per mole of atoms
V = 99.7 Å³/f.u.
E_tot = -5.42 eV per atom
space-group type = I-4m2